# Ac2TaCoO6

A relaxed Ac2TaCoO6 crystal (PBE with a Hubbard U, Alexandria).

Results
Theoretical density (Mg/m³): 9.4
Symmetry: Pmmn, No. 59
Electronic total energy (eV/atom): -8.048

POSCAR file:
```
Ac2TaCoO6
1.0
5.411 0.000 0.000
0.000 9.060 0.000
0.000 0.000 5.665
Ac Ta Co O
4 2 2 12
direct
0.250 0.025 0.250
0.250 0.475 0.250
0.750 0.525 0.750
0.750 0.975 0.750
0.250 0.250 0.714
0.750 0.750 0.286
0.250 0.750 0.802
0.750 0.250 0.198
0.004 0.750 0.041
0.007 0.250 0.443
0.250 0.028 0.689
0.250 0.472 0.689
0.493 0.250 0.443
0.496 0.750 0.041
0.504 0.250 0.959
0.507 0.750 0.557
0.750 0.528 0.311
0.750 0.972 0.311
0.993 0.750 0.557
0.996 0.250 0.959
```